Version 1
The following is a PBE-GGA calculation of a relaxed structure of RbVOs3, from Alexandria via LeMat-Bulk.

Unit cell a=4.693 b=4.693 c=4.693 alpha=90.00 beta=90.00 gamma=90.00
Space group Pm-3m (No. 221)
Asymmetric unit:
Rb 0.000 0.000 0.000 (multiplicity 1)
V 0.500 0.500 0.500 (multiplicity 1)
Os 0.000 0.000 0.500 (multiplicity 3)

As for the total magnetic moment: 0.22 μB/f.u. The value obtained for the theoretical density is 11.4 Mg/m³.

Version 2
The following is a PBE-GGA calculation of a relaxed structure of RbVOs3, from Alexandria via LeMat-Bulk.

Unit cell a=4.684 b=4.684 c=4.684 alpha=90.00 beta=90.00 gamma=90.00
Space group Pm-3m (No. 221)
Asymmetric unit:
Rb 0.000 0.000 0.000 (multiplicity 1)
V 0.500 0.500 0.500 (multiplicity 1)
Os 0.000 0.500 0.500 (multiplicity 3)

As for the total magnetic moment: 1.75 μB/f.u. The value obtained for the theoretical density is 11.4 Mg/m³.

Most favorable structure: version 2. The second most favorable one is 200.9 kJ/mol of atoms above it.

Version 1
The following is a PBE-GGA calculation of a relaxed structure of Rb2OsW, from Alexandria via LeMat-Bulk.

Unit cell a=8.201 b=8.201 c=8.201 alpha=90.00 beta=90.00 gamma=90.00
Space group Fm-3m (No. 225)
Asymmetric unit:
Rb 0.250 0.250 0.250 (multiplicity 8)
Os 0.000 0.000 0.000 (multiplicity 4)
W 0.000 0.000 0.500 (multiplicity 4)

As for the total magnetic moment: 7.72 μB/f.u. The value obtained for the theoretical density is 6.6 Mg/m³.

Version 2
The following is a PBE-GGA calculation of a relaxed structure of Rb2OsW, from Alexandria via LeMat-Bulk.

Unit cell a=13.081 b=13.081 c=4.723 alpha=90.00 beta=90.00 gamma=90.00
Space group I-42d (No. 122)
Asymmetric unit:
Rb 0.075 0.750 0.125 (multiplicity 8)
Os 0.000 0.000 0.000 (multiplicity 4)
W 0.000 0.000 0.500 (multiplicity 4)

As for the total magnetic moment: 1.60 μB/f.u. The value obtained for the theoretical density is 4.5 Mg/m³.

Most favorable structure: version 2. The second most favorable one is 113.5 kJ/mol of atoms above it.

Version 1
The following is a PBE-GGA calculation of a relaxed structure of RbOs3W, from Alexandria via LeMat-Bulk.

Unit cell a=4.868 b=4.868 c=4.868 alpha=90.00 beta=90.00 gamma=90.00
Space group Pm-3m (No. 221)
Asymmetric unit:
Rb 0.000 0.000 0.000 (multiplicity 1)
Os 0.000 0.500 0.500 (multiplicity 3)
W 0.500 0.500 0.500 (multiplicity 1)

As for the total magnetic moment: 1.82 μB/f.u. The value obtained for the theoretical density is 12.1 Mg/m³.

Version 2
The following is a PBE-GGA calculation of a relaxed structure of RbOs3W, from Alexandria via LeMat-Bulk.

Unit cell a=4.608 b=4.608 c=4.608 alpha=90.00 beta=90.00 gamma=90.00
Space group Pm-3m (No. 221)
Asymmetric unit:
Rb 0.000 0.000 0.000 (multiplicity 1)
Os 0.000 0.000 0.500 (multiplicity 3)
W 0.500 0.500 0.500 (multiplicity 1)

As for the total magnetic moment: 0.00 μB/f.u. The value obtained for the theoretical density is 14.3 Mg/m³.

Most favorable structure: version 1. The second most favorable one is 208.0 kJ/mol of atoms above it.

Version 1
The following is a PBE-GGA calculation of a relaxed structure of RbYOs3, from Alexandria via LeMat-Bulk.

Unit cell a=4.781 b=4.781 c=4.781 alpha=90.00 beta=90.00 gamma=90.00
Space group Pm-3m (No. 221)
Asymmetric unit:
Rb 0.000 0.000 0.000 (multiplicity 1)
Y 0.500 0.500 0.500 (multiplicity 1)
Os 0.000 0.000 0.500 (multiplicity 3)

As for the total magnetic moment: 0.00 μB/f.u. The value obtained for the theoretical density is 11.3 Mg/m³.

Version 2
The following is a PBE-GGA calculation of a relaxed structure of RbYOs3, from Alexandria via LeMat-Bulk.

Unit cell a=5.209 b=5.209 c=5.209 alpha=90.00 beta=90.00 gamma=90.00
Space group Pm-3m (No. 221)
Asymmetric unit:
Rb 0.000 0.000 0.000 (multiplicity 1)
Y 0.500 0.500 0.500 (multiplicity 1)
Os 0.000 0.500 0.500 (multiplicity 3)

As for the total magnetic moment: 5.63 μB/f.u. The value obtained for the theoretical density is 8.8 Mg/m³.

Most favorable structure: version 2. The second most favorable one is 41.3 kJ/mol of atoms above it.